No. 1
# PBE Pr4AlIn3, relaxed
# Total DFT energy (no corrections), eV per formula unit: -34.7
# Volume, Å³/f.u.: 231.7
data_Pr4AlIn3
_chemical_formula_sum 'Pr4 Al1 In3'
_symmetry_space_group_name_H-M 'P 4/m m m'
_symmetry_Int_Tables_number 123
_symmetry_space_group_name_Hall '-P 4 2'
_cell_length_a 3.858
_cell_length_b 3.858
_cell_length_c 15.570
_cell_angle_alpha 90.00
_cell_angle_beta 90.00
_cell_angle_gamma 90.00
loop_
_atom_site_label
_atom_site_type_symbol
_atom_site_fract_x
_atom_site_fract_y
_atom_site_fract_z
Pr1 Pr 0.000 0.000 0.117
Pr2 Pr 0.000 0.000 0.372
Al1 Al 0.500 0.500 0.000
In1 In 0.500 0.500 0.245
In2 In 0.500 0.500 0.500



No. 2
# PBE Hf2MgPd3, relaxed
# Total DFT energy (no corrections), eV per formula unit: -41.2
# Volume, Å³/f.u.: 107.0
data_Hf2MgPd3
_chemical_formula_sum 'Hf4 Mg2 Pd6'
_symmetry_space_group_name_H-M 'P -3 m 1'
_symmetry_Int_Tables_number 164
_symmetry_space_group_name_Hall '-P 3 2"'
_cell_length_a 4.6569
_cell_length_b 4.6569
_cell_length_c 11.3895
_cell_angle_alpha 90.00
_cell_angle_beta 90.00
_cell_angle_gamma 120.00
loop_
_atom_site_label
_atom_site_type_symbol
_atom_site_fract_x
_atom_site_fract_y
_atom_site_fract_z
Hf1 Hf 0.0000 0.0000 0.0000
Hf2 Hf 0.0000 0.0000 0.5000
Hf3 Hf 0.3333 0.6667 0.1781
Mg1 Mg 0.3333 0.6667 0.6665
Pd1 Pd 0.0000 0.0000 0.2483
Pd2 Pd 0.3333 0.6667 0.4223
Pd3 Pd 0.3333 0.6667 0.9321



No. 3
# PBE TmU2Mo2C4, relaxed
# Total DFT energy (no corrections), eV per formula unit: -85.9
# Volume, Å³/f.u.: 122.0
data_TmU2Mo2C4
_chemical_formula_sum 'Tm2 U4 Mo4 C8'
_symmetry_space_group_name_H-M 'C 1 2/m 1'
_symmetry_Int_Tables_number 12
_cell_length_a 14.566
_cell_length_b 3.161
_cell_length_c 5.605
_cell_angle_alpha 90.00
_cell_angle_beta 109.02
_cell_angle_gamma 90.00
loop_
_symmetry_equiv_pos_as_xyz
'x,y,z'
'-x,-y,-z'
'-x,y,-z'
'x,-y,z'
'x+1/2,y+1/2,z'
'-x+1/2,-y+1/2,-z'
'-x+1/2,y+1/2,-z'
'x+1/2,-y+1/2,z'
loop_
_atom_site_label
_atom_site_type_symbol
_atom_site_fract_x
_atom_site_fract_y
_atom_site_fract_z
Tm1 Tm 0.000 0.000 0.000
U1 U 0.134 0.000 0.514
Mo1 Mo 0.173 0.500 0.000
C1 C 0.017 0.500 0.640
C2 C 0.242 0.000 0.254



No. 4
# PBE Rb2CaGe2, relaxed
# Total DFT energy (no corrections), eV per formula unit: -10.6
# Volume, Å³/f.u.: 196.8
data_Rb2CaGe2
_chemical_formula_sum 'Rb4 Ca2 Ge4'
_symmetry_space_group_name_H-M 'I 4/m m m'
_symmetry_Int_Tables_number 139
_symmetry_space_group_name_Hall '-I 4 2'
_cell_length_a 5.951
_cell_length_b 5.951
_cell_length_c 11.116
_cell_angle_alpha 90.00
_cell_angle_beta 90.00
_cell_angle_gamma 90.00
loop_
_atom_site_label
_atom_site_type_symbol
_atom_site_fract_x
_atom_site_fract_y
_atom_site_fract_z
Rb1 Rb 0.000 0.000 0.138
Ca1 Ca 0.000 0.000 0.500
Ge1 Ge 0.000 0.500 0.250



| no. | ΔE_f (kJ/mol of formula units) |
| --- | --- |
| 1 | -349 |
| 2 | -397 |
| 3 | -28 |
| 4 | 251 |